Density functional theory data (PBE-GGA) for a relaxed Pb2O3 crystal.

a b c (Å): 3.401 8.306 5.923
angles (deg): 90.00 106.41 90.00
Fractional coordinates of all 10 atoms:
Pb 0.000 0.000 0.000
Pb 0.000 0.500 0.000
Pb 0.280 0.250 0.551
Pb 0.720 0.750 0.449
O 0.075 0.750 0.152
O 0.376 0.534 0.748
O 0.376 0.966 0.748
O 0.624 0.034 0.252
O 0.624 0.466 0.252
O 0.925 0.250 0.848

The space group is P2_1/m, No. 11.



Density functional theory data (PBE-GGA) for a relaxed PbO crystal.

a b c (Å): 7.757 7.757 7.757
angles (deg): 93.00 93.00 153.56
Fractional coordinates of all 8 atoms:
Pb 0.064 0.733 0.796
Pb 0.267 0.064 0.331
Pb 0.733 0.936 0.669
Pb 0.936 0.267 0.204
O 0.126 0.359 0.486
O 0.359 0.874 0.233
O 0.641 0.126 0.767
O 0.874 0.641 0.514

The space group is I4/m, No. 87.



Density functional theory data (PBE-GGA) for a relaxed Pb4O crystal.

a b c (Å): 5.126 5.126 5.126
angles (deg): 90.00 90.00 90.00
Fractional coordinates of all 5 atoms:
Pb 0.000 0.000 0.000
Pb 0.000 0.500 0.500
Pb 0.500 0.000 0.500
Pb 0.500 0.500 0.000
O 0.500 0.500 0.500

The space group is Pm-3m, No. 221.



Density functional theory data (PBE-GGA) for a relaxed Pb2O3 crystal.

a b c (Å): 4.851 4.851 6.942
angles (deg): 90.00 90.00 90.00
Fractional coordinates of all 10 atoms:
Pb 0.250 0.250 0.099
Pb 0.250 0.750 0.500
Pb 0.750 0.250 0.500
Pb 0.750 0.750 0.901
O 0.250 0.250 0.461
O 0.250 0.750 0.207
O 0.250 0.750 0.793
O 0.750 0.250 0.207
O 0.750 0.250 0.793
O 0.750 0.750 0.539

The space group is P4/nmm, No. 129.



Density functional theory data (PBE-GGA) for a relaxed PbO2 crystal.

a b c (Å): 5.080 5.080 3.444
angles (deg): 90.00 90.00 90.00
Fractional coordinates of all 6 atoms:
Pb 0.000 0.000 0.000
Pb 0.500 0.500 0.500
O 0.192 0.192 0.500
O 0.308 0.692 0.000
O 0.692 0.308 0.000
O 0.808 0.808 0.500

The space group is P4_2/mnm, No. 136.



Density functional theory data (PBE-GGA) for a relaxed Pb2O crystal.

a b c (Å): 5.475 5.475 5.475
angles (deg): 90.00 90.00 90.00
Fractional coordinates of all 6 atoms:
Pb 0.000 0.000 0.000
Pb 0.000 0.500 0.500
Pb 0.500 0.000 0.500
Pb 0.500 0.500 0.000
O 0.250 0.250 0.250
O 0.750 0.750 0.750

The space group is Pn-3m, No. 224.



Density functional theory data (PBE-GGA) for a relaxed Pb3O4 crystal.

a b c (Å): 8.986 9.068 6.777
angles (deg): 90.00 90.00 90.00
Fractional coordinates of all 28 atoms:
Pb 0.000 0.000 0.250
Pb 0.000 0.000 0.750
Pb 0.144 0.332 0.000
Pb 0.166 0.647 0.500
Pb 0.334 0.147 0.500
Pb 0.356 0.832 0.000
Pb 0.500 0.500 0.250
Pb 0.500 0.500 0.750
Pb 0.644 0.168 0.000
Pb 0.666 0.853 0.500
Pb 0.834 0.353 0.500
Pb 0.856 0.668 0.000
O 0.095 0.867 0.000
O 0.135 0.906 0.500
O 0.171 0.171 0.250
O 0.171 0.171 0.750
O 0.329 0.671 0.250
O 0.329 0.671 0.750
O 0.365 0.406 0.500
O 0.405 0.367 0.000
O 0.595 0.633 0.000
O 0.635 0.594 0.500
O 0.671 0.329 0.250
O 0.671 0.329 0.750
O 0.829 0.829 0.250
O 0.829 0.829 0.750
O 0.865 0.094 0.500
O 0.905 0.133 0.000

The space group is Pbam, No. 55. The energy relative to the lowest polymorph listed for this composition is 0.0000 eV per atom.



Density functional theory data (PBE-GGA) for a relaxed PbO2 crystal.

a b c (Å): 8.255 3.558 5.732
angles (deg): 90.00 90.00 90.00
Fractional coordinates of all 12 atoms:
Pb 0.164 0.250 0.148
Pb 0.336 0.750 0.648
Pb 0.664 0.250 0.352
Pb 0.836 0.750 0.852
O 0.110 0.750 0.895
O 0.136 0.750 0.381
O 0.364 0.250 0.881
O 0.390 0.250 0.395
O 0.610 0.750 0.605
O 0.636 0.750 0.119
O 0.864 0.250 0.619
O 0.890 0.250 0.105

The space group is Pnma, No. 62.



The following energy relative to the elements, uncorrected values (in eV/f.u.) correspond, in order, to the records above: -4.80 -2.09 -1.58 -4.24 -2.50 -1.22 -7.35 -2.34.